PBE SmAg2Hg2, relaxed; density of states at the Fermi level = 2.3 states/eV/f.u.; E above lowest polymorph = 0.074 eV/atom; energy of formation = -154 meV/atom; symmetry = C2/m, No. 12
1.0
2.930 -2.922 0.000
2.930 2.922 0.000
-2.911 0.000 6.897
Sm Ag Hg
1 2 2
Cartesian
0.000 0.000 0.000
1.474 1.458 3.449
1.474 -1.458 3.449
0.002 0.000 5.440
2.946 0.000 1.457

***

PBE NaAgMoCl6, relaxed; density of states at the Fermi level = 7.7 states/eV/f.u.; raw formation energy = -0.9518 eV/atom; symmetry = P-31c, No. 163
1.0
6.701 0.000 0.000
-3.350 5.803 0.000
0.000 0.000 11.548
Na Ag Mo Cl
2 2 2 12
Cartesian
0.000 3.869 2.887
3.350 1.934 8.661
0.000 0.000 0.000
0.000 0.000 5.774
0.000 3.869 8.661
3.350 1.934 2.887
-0.970 2.165 7.264
-1.960 3.880 10.058
0.970 2.165 10.058
-0.990 5.561 7.264
2.360 0.242 1.490
1.390 1.923 4.284
1.960 3.880 7.264
0.990 5.561 10.058
4.340 0.242 4.284
2.380 3.638 1.490
5.311 1.923 1.490
4.321 3.638 4.284

***

PBE InMo2AsW, relaxed; density of states at the Fermi level = 4.5 states/eV/f.u.; energy of formation = 1680 meV/atom; symmetry = P4/mmm, No. 123
1.0
4.570 0.000 0.000
0.000 4.570 0.000
0.000 0.000 4.942
In Mo As W
1 2 1 1
Cartesian
0.000 0.000 0.000
0.000 2.285 2.471
2.285 0.000 2.471
0.000 0.000 2.471
2.285 2.285 0.000

***

PBE KPF6, relaxed; density of states at the Fermi level = 0.0 states/eV/f.u.; raw formation energy = -2.7754 eV/atom; symmetry = R-3, No. 148
1.0
3.672 2.120 2.405
-3.672 2.120 2.405
0.000 -4.240 2.405
K P F
1 1 6
Cartesian
0.000 0.000 0.000
0.000 0.000 3.607
-1.184 0.614 2.653
0.060 -1.332 2.653
-1.124 -0.718 4.560
1.124 0.718 2.653
-0.060 1.332 4.560
1.184 -0.614 4.560

***

PBE La2Pr6TmMg, relaxed; density of states at the Fermi level = 13.9 states/eV/f.u.; energy of formation = 46 meV/atom; symmetry = C2/c, No. 15
1.0
4.470 -4.893 0.000
4.470 4.893 0.000
-0.478 0.000 15.950
La Pr Tm Mg
4 12 2 2
Cartesian
2.740 2.958 13.005
5.484 2.958 10.920
2.978 -2.958 5.030
5.723 -2.958 2.945
2.187 1.292 9.734
1.438 0.099 6.448
1.199 -0.099 14.423
4.029 1.745 0.629
4.673 1.745 7.346
2.426 -1.292 1.759
6.037 1.292 14.191
3.790 -1.745 8.604
4.434 -1.745 15.321
7.263 0.099 1.527
7.024 -0.099 9.502
6.276 -1.292 6.216
4.351 0.381 3.987
4.112 -0.381 11.962
4.351 3.550 3.987
4.112 -3.550 11.962

***

PBE Y2TcIr, relaxed; density of states at the Fermi level = 2.3 states/eV/f.u.; energy of formation = -205 meV/atom; symmetry = Imm2, No. 44
1.0
-1.691 2.358 5.177
1.691 -2.358 5.177
1.691 2.358 -5.177
Y Tc Ir
2 1 1
Cartesian
0.000 0.000 0.000
0.000 2.358 2.313
0.000 0.000 4.793
1.691 0.000 2.666

***

PBE YNiAu, relaxed; density of states at the Fermi level = 2.2 states/eV/f.u.; energy of formation = -544 meV/atom; symmetry = Pm, No. 6
1.0
4.189 0.000 0.000
0.000 3.596 0.000
-2.046 0.000 3.982
Y Ni Au
1 1 1
Cartesian
0.000 0.000 0.000
2.128 1.798 1.161
0.035 1.798 2.599

***

PBE MgAlH2, relaxed; density of states at the Fermi level = 0.2 states/eV/f.u.; DFT total energy = -3.00 eV per atom; symmetry = P2_1/m, No. 11
1.0
4.235 0.000 0.000
0.000 2.862 0.000
-1.924 0.000 7.974
Mg Al H
2 2 4
Cartesian
0.178 0.715 1.347
2.133 2.146 6.628
0.044 0.715 4.584
2.267 2.146 3.390
-0.835 0.715 6.109
0.958 2.146 0.359
1.353 0.715 7.615
3.146 2.146 1.866

***

PBE Tl8SiTe6, relaxed; raw formation energy = -0.2081 eV/atom; symmetry = Pmn2_1, No. 31
1.0
9.124 0.000 0.000
0.000 10.301 0.000
0.000 0.000 11.916
Tl Si Te
16 2 12
Cartesian
0.000 1.442 0.000
0.000 2.980 4.509
1.800 5.453 9.392
1.987 7.008 0.727
2.270 0.993 2.692
2.292 9.308 8.649
2.575 3.293 6.685
2.762 4.848 3.434
4.562 7.321 10.466
4.562 8.859 5.958
6.362 4.848 3.434
6.549 3.293 6.685
6.832 9.308 8.649
6.854 0.993 2.692
7.137 7.008 0.727
7.324 5.453 9.392
0.000 8.185 5.205
4.562 2.116 11.163
0.000 0.012 6.596
0.000 4.624 1.549
0.000 6.008 6.530
0.000 8.526 10.728
2.104 8.222 3.757
2.459 2.078 9.714
4.562 1.775 4.770
4.562 4.292 0.572
4.562 5.677 7.507
4.562 10.288 0.639
6.666 2.078 9.714
7.021 8.222 3.757

***

PBE NaTmCd, relaxed; density of states at the Fermi level = 2.3 states/eV/f.u.; E above lowest polymorph = 0.015 eV/atom; energy of formation = 26 meV/atom; symmetry = I4mm, No. 107
1.0
-1.725 1.725 7.242
1.725 -1.725 7.242
1.725 1.725 -7.242
Na Tm Cd
1 1 1
Cartesian
0.000 0.000 0.000
0.000 0.000 4.271
0.000 0.000 9.551

***

PBE AuO5, relaxed; density of states at the Fermi level = 1.6 states/eV/f.u.; raw formation energy = 0.2436 eV/atom; symmetry = P1, No. 1
1.0
3.234 0.000 0.000
-1.557 4.051 0.000
-0.323 -0.453 8.143
Au O
1 5
Cartesian
0.000 0.000 0.000
-1.575 3.688 4.158
0.059 2.180 1.715
0.060 3.352 1.136
1.295 0.318 7.168
1.654 2.563 4.654

***

PBE Nd12Pt3C5, relaxed; density of states at the Fermi level = 17.0 states/eV/f.u.; energy of formation = -245 meV/atom; symmetry = Ia-3d, No. 230
1.0
-8.019 8.019 8.019
8.019 -8.019 8.019
8.019 8.019 -8.019
Nd Pt C
48 12 20
Cartesian
2.406 -0.471 0.911
9.622 4.921 -4.480
10.425 0.471 0.911
9.622 -3.098 4.480
7.548 -0.911 2.406
12.499 -1.603 3.098
0.911 2.406 -0.471
11.117 3.538 -1.603
4.921 4.480 -1.603
7.107 2.406 0.471
-0.471 0.911 2.406
4.480 -1.603 4.921
7.548 7.107 -2.406
4.480 1.603 3.098
4.921 -4.480 9.622
7.107 -2.406 7.548
3.098 4.480 1.603
8.930 5.613 0.471
4.480 9.622 -3.098
7.548 0.911 5.613
2.406 7.548 -0.911
9.622 3.098 3.538
1.603 3.098 4.480
2.406 0.471 7.107
5.613 7.548 0.911
6.416 4.921 3.538
-1.603 4.921 4.480
5.613 0.471 8.930
0.471 7.107 2.406
3.538 -1.603 11.117
-0.911 2.406 7.548
4.921 3.538 6.416
0.911 10.425 0.471
3.098 12.499 -1.603
3.538 6.416 4.921
0.471 0.911 10.425
3.538 9.622 3.098
8.490 7.107 5.613
0.911 5.613 7.548
3.098 3.538 9.622
-3.098 4.480 9.622
7.107 5.613 8.490
-4.480 9.622 4.921
0.471 8.930 5.613
-1.603 11.117 3.538
-2.406 7.548 7.107
-1.603 3.098 12.499
5.613 8.490 7.107
4.009 2.005 0.000
8.019 4.009 -2.005
2.005 0.000 4.009
10.024 0.000 4.009
0.000 4.009 2.005
4.009 -2.005 8.019
4.009 10.024 0.000
8.019 4.009 6.014
-2.005 8.019 4.009
6.014 8.019 4.009
0.000 4.009 10.024
4.009 6.014 8.019
0.000 0.000 0.000
4.009 4.009 -4.009
4.009 -4.009 4.009
8.019 0.000 0.000
12.028 2.005 0.000
8.019 -4.009 6.014
6.014 8.019 -4.009
6.014 0.000 4.009
4.009 6.014 0.000
8.019 4.009 2.005
-4.009 4.009 4.009
0.000 8.019 0.000
0.000 0.000 8.019
4.009 4.009 4.009
0.000 4.009 6.014
4.009 2.005 8.019
2.005 8.019 4.009
2.005 0.000 12.028
0.000 12.028 2.005
-4.009 6.014 8.019

***

PBE BaCuI2N, relaxed; density of states at the Fermi level = 2.6 states/eV/f.u.; raw formation energy = 0.5760 eV/atom; E above lowest polymorph = 0.749 eV/atom; symmetry = P4/mmm, No. 123
1.0
6.753 0.000 0.000
0.000 6.753 0.000
0.000 0.000 5.362
Ba Cu I N
1 1 2 1
Cartesian
0.000 0.000 0.000
3.376 3.376 2.681
0.000 3.376 0.000
3.376 0.000 0.000
0.000 0.000 2.681

***

PBE PmPr4Cd, relaxed; density of states at the Fermi level = 8.3 states/eV/f.u.; E above lowest polymorph = 0.090 eV/atom; energy of formation = -8 meV/atom; symmetry = C2/c, No. 15
1.0
4.541 -7.289 0.000
4.541 7.289 0.000
-2.151 0.000 6.148
Pm Pr Cd
2 8 2
Cartesian
2.928 6.020 4.611
4.003 -6.020 1.537
0.070 1.719 5.384
2.681 2.774 2.789
1.145 -1.719 2.309
5.326 2.774 0.286
1.605 -2.774 5.863
5.786 1.719 3.839
4.250 -2.774 3.360
6.861 -1.719 0.765
2.928 0.017 4.611
4.003 -0.017 1.537

***

PBE NaCaCd6, relaxed; density of states at the Fermi level = 2.9 states/eV/f.u.; energy of formation = -176 meV/atom; symmetry = Amm2, No. 38
1.0
5.181 0.000 0.000
0.000 3.295 5.691
0.000 -3.295 5.691
Na Ca Cd
1 1 6
Cartesian
0.000 0.000 0.000
2.591 0.000 3.767
0.000 0.000 5.736
0.000 -1.580 8.491
0.000 1.580 8.491
2.591 -1.606 6.639
2.591 1.606 6.639
2.591 0.000 9.440

***

PBE KHgW2, relaxed; density of states at the Fermi level = 2.4 states/eV/f.u.; energy of formation = 1319 meV/atom; symmetry = P2/m, No. 10
1.0
2.801 0.000 0.000
0.000 5.692 0.000
-0.167 0.000 5.203
K Hg W
1 1 2
Cartesian
0.000 0.000 0.000
1.317 0.000 2.602
0.812 2.846 3.940
1.822 2.846 1.263